This record from Alexandria via LeMat-Bulk describes a relaxed Pm4PrY2Er2 crystal. The functional is PBE.

a b c (Å): 8.0716 8.0716 8.0660
angles (deg): 107.31 107.31 36.77
Fractional positions:
1 Pm 0.0550 0.0550 0.3316
2 Pm 0.2772 0.2772 0.6684
3 Pm 0.7228 0.7228 0.3316
4 Pm 0.9450 0.9450 0.6684
5 Pr 0.5000 0.5000 0.0000
6 Y 0.3883 0.3883 0.3325
7 Y 0.6117 0.6117 0.6675
8 Er 0.1684 0.1684 0.9997
9 Er 0.8316 0.8316 0.0003

Values from the calculation:
formation energy from the elements = 0.018 eV/atom